This record from Alexandria via LeMat-Bulk describes NaCeSnGe after structural relaxation. The functional is PBE.

a b c (Å): 5.209 5.209 5.209
angles (deg): 60.00 60.00 60.00
Each line ends with the local moment (μB).
Fractional positions:
Na1 0.000 0.000 0.000  0.00
Ge1 0.750 0.750 0.750  0.00
Sn1 0.250 0.250 0.250  0.00
Ce1 0.500 0.500 0.500  0.49

Values from the calculation:
- Symmetry: F-43m
- Energy of formation from the pure elements: -6.97 kcal/mol of atoms

---

This record from Alexandria via LeMat-Bulk describes NaCeZnGe after structural relaxation. The functional is PBE.

a b c (Å): 5.036 5.036 5.036
angles (deg): 60.00 60.00 60.00
Each line ends with the local moment (μB).
Fractional positions:
Na1 0.500 0.500 0.500  0.00
Ge1 0.250 0.250 0.250  -0.02
Zn1 0.750 0.750 0.750  0.02
Ce1 0.000 0.000 0.000  0.70

Values from the calculation:
- Symmetry: F-43m
- Energy of formation from the pure elements: -5.93 kcal/mol of atoms

---

This record from Alexandria via LeMat-Bulk describes Na2CeZnGe2 after structural relaxation. The functional is PBE.

a b c (Å): 4.421 7.336 8.577
angles (deg): 90.00 90.00 90.00
Each line ends with the local moment (μB).
Fractional positions:
Na1 0.500 0.020 0.083  0.00
Na2 0.000 0.344 0.149  0.00
Na3 0.500 0.520 0.917  0.00
Na4 0.000 0.844 0.851  0.00
Ce1 0.000 0.001 0.457  0.26
Ce2 0.000 0.501 0.543  0.26
Zn1 0.500 0.154 0.684  0.00
Zn2 0.500 0.654 0.316  0.00
Ge1 0.000 0.244 0.809  -0.01
Ge2 0.500 0.282 0.386  -0.01
Ge3 0.000 0.744 0.191  -0.01
Ge4 0.500 0.782 0.614  -0.01

Values from the calculation:
- Symmetry: Pmc2_1
- Energy of formation from the pure elements: -7.62 kcal/mol of atoms

---

This record from Alexandria via LeMat-Bulk describes Ce2Nb3Ge4 after structural relaxation. The functional is PBE.

a b c (Å): 7.142 7.251 7.239
angles (deg): 90.00 90.00 109.65
Each line ends with the local moment (μB).
Fractional positions:
Ce1 0.560 0.187 0.331  0.30
Ce2 0.940 0.813 0.831  0.30
Ce3 0.440 0.813 0.669  0.30
Ce4 0.060 0.187 0.169  0.30
Nb1 0.000 0.500 0.500  0.00
Nb2 0.500 0.500 0.000  0.00
Nb3 0.747 0.254 0.831  0.00
Nb4 0.753 0.746 0.331  0.00
Nb5 0.253 0.746 0.169  0.00
Nb6 0.247 0.254 0.669  0.00
Ge1 0.861 0.088 0.543  0.00
Ge2 0.639 0.912 0.043  0.00
Ge3 0.139 0.912 0.457  0.00
Ge4 0.361 0.088 0.957  0.00
Ge5 0.866 0.497 0.133  0.00
Ge6 0.634 0.503 0.633  0.00
Ge7 0.134 0.503 0.867  0.00
Ge8 0.366 0.497 0.367  0.00

Values from the calculation:
- Symmetry: P2_1/c
- Energy of formation from the pure elements: -15.63 kcal/mol of atoms

---

This record from Alexandria via LeMat-Bulk describes CeNb3Ge2 after structural relaxation. The functional is PBE.

a b c (Å): 4.394 7.695 8.578
angles (deg): 116.22 90.00 106.59
Each line ends with the local moment (μB).
Fractional positions:
Ce1 0.852 0.704 0.943  0.58
Ce2 0.148 0.296 0.057  0.58
Nb1 0.314 0.629 0.529  0.00
Nb2 0.950 0.901 0.631  0.01
Nb3 0.578 0.156 0.667  0.01
Nb4 0.422 0.844 0.333  0.01
Nb5 0.050 0.099 0.369  0.01
Nb6 0.686 0.371 0.471  0.00
Ge1 0.476 0.952 0.845  -0.01
Ge2 0.524 0.048 0.155  -0.01
Ge3 0.805 0.609 0.285  -0.01
Ge4 0.195 0.391 0.715  -0.01

Values from the calculation:
- Symmetry: C2/m
- Energy of formation from the pure elements: -9.08 kcal/mol of atoms

---

This record from Alexandria via LeMat-Bulk describes CeNbGe after structural relaxation. The functional is PBE.

a b c (Å): 3.883 4.502 4.502
angles (deg): 120.00 90.00 90.00
Fractional positions:
Nb1 0.167 0.333 0.667
Ge1 0.167 0.000 0.000
Ce1 0.667 0.667 0.333

Values from the calculation:
- Symmetry: P-6m2
- Energy of formation from the pure elements: -3.37 kcal/mol of atoms

---

This record from Alexandria via LeMat-Bulk describes CeNbGe2 after structural relaxation. The functional is PBE.

a b c (Å): 3.025 5.265 5.265
angles (deg): 90.00 90.00 90.00
Each line ends with the local moment (μB).
Fractional positions:
Ce1 0.000 0.054 0.946  0.35
Nb1 0.500 0.554 0.446  0.03
Ge1 0.500 0.554 0.946  0.00
Ge2 0.500 0.054 0.446  0.00

Values from the calculation:
- Symmetry: P4/mmm
- Energy of formation from the pure elements: -6.65 kcal/mol of atoms

---

This record from Alexandria via LeMat-Bulk describes Ce2NbGe after structural relaxation. The functional is PBE.

a b c (Å): 3.062 3.062 11.028
angles (deg): 82.02 82.02 60.00
Fractional positions:
Nb1 0.000 0.000 0.000
Ge1 0.500 0.500 0.500
Ce1 0.087 0.087 0.739
Ce2 0.913 0.913 0.261

Values from the calculation:
- Distance to the lowest polymorph of the same formula: 405 meV/atom
- Symmetry: R-3m
- Energy of formation from the pure elements: 3.68 kcal/mol of atoms

---

This record from Alexandria via LeMat-Bulk describes Ce2NbGe after structural relaxation. The functional is PBE.

a b c (Å): 4.658 4.280 4.280
angles (deg): 90.00 90.00 90.00
Fractional positions:
Nb1 0.500 0.000 0.000
Ge1 0.500 0.500 0.500
Ce1 0.000 0.000 0.500
Ce2 0.000 0.500 0.000

Values from the calculation:
- Distance to the lowest polymorph of the same formula: 0 meV/atom
- Symmetry: P4/mmm
- Energy of formation from the pure elements: -5.65 kcal/mol of atoms

---

This record from Alexandria via LeMat-Bulk describes CeNbGe2 after structural relaxation. The functional is PBE.

a b c (Å): 3.895 3.895 7.012
angles (deg): 73.88 73.88 60.00
Fractional positions:
Nb1 0.000 0.000 0.000
Ge1 0.739 0.739 0.783
Ge2 0.261 0.261 0.217
Ce1 0.500 0.500 0.500

Values from the calculation:
- Symmetry: R-3m
- Energy of formation from the pure elements: -10.99 kcal/mol of atoms

---

This record from Alexandria via LeMat-Bulk describes CeNbGe after structural relaxation. The functional is PBE.

a b c (Å): 5.270 6.413 5.270
angles (deg): 64.31 93.16 115.69
Each line ends with the local moment (μB).
Fractional positions:
Nb1 0.282 0.000 0.718  0.01
Nb2 0.782 0.000 0.218  0.01
Ce1 0.283 0.500 0.717  0.58
Ce2 0.783 0.500 0.217  0.58
Ge1 0.282 0.000 0.218  0.00
Ge2 0.782 0.000 0.718  0.00

Values from the calculation:
- Symmetry: Pmmm
- Energy of formation from the pure elements: -2.24 kcal/mol of atoms

---

This record from Alexandria via LeMat-Bulk describes CeNbGe2 after structural relaxation. The functional is PBE.

a b c (Å): 3.533 3.533 6.364
angles (deg): 90.00 90.00 90.00
Each line ends with the local moment (μB).
Fractional positions:
Nb1 0.500 0.500 0.000  0.02
Ge1 0.000 0.000 0.796  0.00
Ge2 0.000 0.000 0.204  0.00
Ce1 0.500 0.500 0.500  0.51

Values from the calculation:
- Symmetry: P4/mmm
- Energy of formation from the pure elements: -9.87 kcal/mol of atoms